The following is a PBE-GGA calculation of Tb4SmScS8 after structural relaxation, from the Alexandria database.

abc: 8.043 8.043 8.043
angles: 59.86 59.86 59.86
Positions (direct):
Tb 0.000 0.000 0.000
Tb 0.378 0.378 0.864
Tb 0.378 0.864 0.378
Tb 0.864 0.378 0.378
Sm 0.378 0.378 0.378
Sc 0.750 0.750 0.750
S 0.128 0.626 0.626
S 0.131 0.131 0.600
S 0.131 0.600 0.131
S 0.134 0.134 0.134
S 0.600 0.131 0.131
S 0.623 0.623 0.623
S 0.626 0.128 0.626
S 0.626 0.626 0.128

***

The following is a PBE-GGA calculation of TbSm3Sc2S6 after structural relaxation, from the Alexandria database.

abc: 6.714 6.714 6.802
angles: 99.47 99.47 120.16
Positions (direct):
Tb 0.000 0.000 0.000
Sm 0.163 0.837 0.500
Sm 0.500 0.500 0.500
Sm 0.837 0.163 0.500
Sc 0.334 0.666 0.000
Sc 0.666 0.334 0.000
S 0.077 0.421 0.232
S 0.268 0.268 0.772
S 0.421 0.077 0.232
S 0.579 0.923 0.768
S 0.732 0.732 0.228
S 0.923 0.579 0.768

***

The following is a PBE-GGA calculation of Tb2SmScS4 after structural relaxation, from the Alexandria database.

abc: 6.738 3.864 6.804
angles: 90.00 109.07 90.00
Positions (direct):
Tb 0.000 0.000 0.000
Tb 0.000 0.500 0.500
Sm 0.500 0.000 0.500
Sc 0.500 0.500 0.000
S 0.251 0.500 0.239
S 0.259 0.000 0.764
S 0.741 0.000 0.236
S 0.749 0.500 0.761

***

The following is a PBE-GGA calculation of SmScTeS after structural relaxation, from the Alexandria database.

abc: 7.721 7.721 7.721
angles: 29.25 29.25 29.25
Positions (direct):
Sm 0.000 0.000 0.000
Sc 0.152 0.152 0.152
Te 0.568 0.568 0.568
S 0.751 0.751 0.751

***

Number 1: energy -89.47 eV per cell, volume 26.195 A^3/atom. Number 2: energy -79.67 eV per cell, volume 20.860 A^3/atom. Number 3: energy -52.43 eV per cell, volume 20.929 A^3/atom. Number 4: energy -24.23 eV per cell, volume 24.305 A^3/atom.